DFT (PBE) results for a geometry-optimized Te2PtI structure.

Calculated values
Formation energy (no corrections) (eV/atom): -0.04
Density (g cm⁻³): 8.49

POSCAR file:
```
Te2PtI
1.0
6.893 0.000 0.000
0.000 6.031 0.000
0.000 0.000 10.867
Te Pt I
8 4 4
Direct
0.051 0.250 0.184
0.149 0.750 0.458
0.351 0.250 0.958
0.449 0.750 0.684
0.551 0.250 0.316
0.649 0.750 0.042
0.851 0.250 0.542
0.949 0.750 0.816
0.179 0.250 0.413
0.321 0.750 0.913
0.679 0.250 0.087
0.821 0.750 0.587
0.140 0.750 0.144
0.360 0.250 0.644
0.640 0.750 0.356
0.860 0.250 0.856
```


DFT (PBE) results for a geometry-optimized CePm2YSe4 structure.

Calculated values
Formation energy (no corrections) (eV/atom): -1.82
Density (g cm⁻³): 6.76

POSCAR file:
```
CePm2YSe4
1.0
7.221 0.000 0.000
0.000 4.144 0.000
-2.377 0.000 6.857
Ce Pm Y Se
1 2 1 4
Direct
0.000 0.000 0.000
0.500 0.000 0.500
0.500 0.500 0.000
0.000 0.500 0.500
0.243 0.000 0.743
0.247 0.500 0.254
0.753 0.500 0.746
0.757 0.000 0.257
```


DFT (PBE) results for a geometry-optimized TaSiRu4 structure.

Calculated values
Formation energy (no corrections) (eV/atom): 0.26
Density (g cm⁻³): 11.09
Offset from the most stable computed form (meV per atom): 123

POSCAR file:
```
TaSiRu4
1.0
0.000 3.581 3.581
3.581 0.000 3.581
3.581 3.581 0.000
Ta Si Ru
1 1 4
Direct
0.000 0.000 0.000
0.250 0.250 0.250
0.127 0.624 0.624
0.624 0.127 0.624
0.624 0.624 0.127
0.624 0.624 0.624
```


DFT (PBE) results for a geometry-optimized Si2TcAg structure.

Calculated values
Formation energy (no corrections) (eV/atom): 0.09
Density (g cm⁻³): 7.39
Offset from the most stable computed form (meV per atom): 149

POSCAR file:
```
Si2TcAg
1.0
2.943 0.000 0.000
0.000 4.620 0.000
0.000 0.000 4.332
Si Tc Ag
2 1 1
Direct
0.000 0.000 0.000
0.500 0.500 0.218
0.000 0.500 0.743
0.500 0.000 0.501
```


DFT (PBE) results for a geometry-optimized LaPrPbI structure.

Calculated values
Formation energy (no corrections) (eV/atom): -0.73
Density (g cm⁻³): 7.99
Offset from the most stable computed form (meV per atom): 103

POSCAR file:
```
LaPrPbI
1.0
7.990 0.000 0.000
0.000 7.990 0.000
0.000 0.000 7.990
La Pr Pb I
4 4 4 4
Direct
0.000 0.000 0.000
0.000 0.500 0.500
0.500 0.000 0.500
0.500 0.500 0.000
0.000 0.000 0.500
0.000 0.500 0.000
0.500 0.000 0.000
0.500 0.500 0.500
0.250 0.250 0.750
0.250 0.750 0.250
0.750 0.250 0.250
0.750 0.750 0.750
0.250 0.250 0.250
0.250 0.750 0.750
0.750 0.250 0.750
0.750 0.750 0.250
```


DFT (PBE) results for a geometry-optimized Ni2TeMo structure.

Calculated values
Formation energy (no corrections) (eV/atom): 0.36
Density (g cm⁻³): 9.47

POSCAR file:
```
Ni2TeMo
1.0
3.278 0.000 0.000
0.000 4.329 0.000
0.000 0.000 8.424
Ni Te Mo
4 2 2
Direct
0.000 0.000 0.240
0.000 0.000 0.760
0.500 0.500 0.260
0.500 0.500 0.740
0.000 0.500 0.500
0.500 0.000 0.000
0.000 0.500 0.000
0.500 0.000 0.500
```


DFT (PBE) results for a geometry-optimized YErHg structure.

Calculated values
Density (g cm⁻³): 9.02
Offset from the most stable computed form (meV per atom): 82
Formation energy (meV/atom): -303

POSCAR file:
```
YErHg
1.0
8.690 0.000 0.000
0.000 3.836 0.000
-0.224 0.000 15.138
Y Er Hg
6 6 6
Direct
0.019 0.250 0.288
0.371 0.750 0.913
0.474 0.750 0.607
0.526 0.250 0.393
0.629 0.250 0.087
0.981 0.750 0.712
0.027 0.250 0.904
0.150 0.250 0.544
0.360 0.750 0.212
0.640 0.250 0.788
0.850 0.750 0.456
0.973 0.750 0.096
0.237 0.750 0.400
0.255 0.250 0.065
0.279 0.250 0.746
0.721 0.750 0.254
0.745 0.750 0.935
0.763 0.250 0.600
```


DFT (PBE) results for a geometry-optimized Pm4Mg3Pt structure.

Calculated values
Density (g cm⁻³): 6.49
Formation energy (meV/atom): -355

POSCAR file:
```
Pm4Mg3Pt
1.0
3.775 0.000 0.000
0.000 3.775 0.000
0.000 0.000 15.213
Pm Mg Pt
4 3 1
Direct
0.000 0.000 0.108
0.000 0.000 0.370
0.000 0.000 0.630
0.000 0.000 0.892
0.500 0.500 0.242
0.500 0.500 0.500
0.500 0.500 0.758
0.500 0.500 0.000
```


- Which of these has the lowest density?
  Pm4Mg3Pt


Copy entry 1 word for word.
DFT (PBE) results for a geometry-optimized Te2PtI structure.

Calculated values
Formation energy (no corrections) (eV/atom): -0.04
Density (g cm⁻³): 8.49

POSCAR file:
```
Te2PtI
1.0
6.893 0.000 0.000
0.000 6.031 0.000
0.000 0.000 10.867
Te Pt I
8 4 4
Direct
0.051 0.250 0.184
0.149 0.750 0.458
0.351 0.250 0.958
0.449 0.750 0.684
0.551 0.250 0.316
0.649 0.750 0.042
0.851 0.250 0.542
0.949 0.750 0.816
0.179 0.250 0.413
0.321 0.750 0.913
0.679 0.250 0.087
0.821 0.750 0.587
0.140 0.750 0.144
0.360 0.250 0.644
0.640 0.750 0.356
0.860 0.250 0.856
```


- Look up the density of the second one.
  6.76 g cm⁻³